Density functional theory data (PBE) for an optimized crystal structure of LiGdTiAl.

Unit cell a=4.869 b=4.869 c=4.869 alpha=60.00 beta=60.00 gamma=60.00
Element x y z (fractional)
Li: 0.000 0.000 0.000
Gd: 0.250 0.250 0.250
Ti: 0.750 0.750 0.750
Al: 0.500 0.500 0.500

- Total magnetic moment: 8.13 μB per formula unit
- Calculated total energy: -6.933 eV/atom
- Formation enthalpy at 0 K: -0.025 eV/atom
- Volume: 81.6 Å³/cell

---

Density functional theory data (PBE) for an optimized crystal structure of Ce5HoRu6.

Unit cell a=8.308 b=8.308 c=4.960 alpha=106.04 beta=106.04 gamma=120.53
Element x y z (fractional)
Ce: 0.000 0.000 0.000
Ce: 0.168 0.832 0.500
Ce: 0.337 0.663 0.000
Ce: 0.663 0.337 0.000
Ce: 0.832 0.168 0.500
Ho: 0.500 0.500 0.500
Ru: 0.070 0.406 0.208
Ru: 0.247 0.247 0.767
Ru: 0.406 0.070 0.208
Ru: 0.594 0.930 0.792
Ru: 0.753 0.753 0.233
Ru: 0.930 0.594 0.792

- Total magnetic moment: 0.00 μB per formula unit
- Calculated total energy: -7.823 eV/atom
- Formation enthalpy at 0 K: -0.331 eV/atom
- Volume: 244.9 Å³/cell

---

Density functional theory data (PBE) for an optimized crystal structure of LiBeAg.

Unit cell a=4.118 b=4.118 c=2.686 alpha=90.00 beta=90.00 gamma=120.00
Element x y z (fractional)
Li: 0.000 0.000 0.000
Be: 0.667 0.333 0.767
Ag: 0.333 0.667 0.390

- Total magnetic moment: 0.00 μB per formula unit
- Calculated total energy: -2.722 eV/atom
- Energy relative to the lowest polymorph listed for this composition: 0.011 eV per atom
- Formation enthalpy at 0 K: 0.109 eV/atom
- Volume: 39.4 Å³/cell

---

Density functional theory data (PBE) for an optimized crystal structure of Ba2CaSb.

Unit cell a=4.287 b=4.287 c=9.943 alpha=90.00 beta=90.00 gamma=90.00
Element x y z (fractional)
Ba: 0.000 0.000 0.000
Ba: 0.500 0.500 0.372
Ca: 0.000 0.000 0.661
Sb: 0.500 0.500 0.785

- Total magnetic moment: 0.99 μB per formula unit
- Calculated total energy: -2.979 eV/atom
- Energy relative to the elements, uncorrected: -0.487 eV/atom
- Volume: 182.7 Å³/cell